The following is a GGA-PBE calculation of SrLi2CuPt after structural relaxation, from Alexandria.

Results
Total DFT energy (no corrections) ... -3.346 eV per atom
Symmetry ... P4/mmm
M_tot ... 0.0 μB/f.u.
E above lowest polymorph ... 0.0000 eV/atom
Calculated volume ... 104.3 Å³ per cell

Cell: 4.581 4.581 4.969 Å, 90.00 90.00 90.00°
Atoms (fractional coordinates):
Sr1 0.000 0.000 0.000
Li1 0.000 0.500 0.500
Li2 0.500 0.000 0.500
Cu1 0.500 0.500 0.500
Pt1 0.500 0.500 0.000

The following is a GGA-PBE calculation of Pu3Al9Cu2 after structural relaxation, from Alexandria.

Results
Total DFT energy (no corrections) ... -6.313 eV per atom
Symmetry ... Immm
M_tot ... 17.2 μB/f.u.
Calculated volume ... 260.5 Å³ per cell

Cell: 8.116 8.116 8.116 Å, 148.92 104.89 83.49°
Atoms (fractional coordinates):
Pu1 0.000 0.000 0.000
Pu2 0.297 0.297 0.000
Pu3 0.703 0.703 0.000
Al1 0.016 0.651 0.365
Al2 0.150 0.868 0.282
Al3 0.286 0.651 0.635
Al4 0.414 0.132 0.282
Al5 0.500 0.000 0.500
Al6 0.586 0.868 0.718
Al7 0.714 0.349 0.365
Al8 0.850 0.132 0.718
Al9 0.984 0.349 0.635
Cu1 0.309 0.500 0.809
Cu2 0.691 0.500 0.191

The following is a GGA-PBE calculation of InTcPb2 after structural relaxation, from Alexandria.

Results
Total DFT energy (no corrections) ... -4.481 eV per atom
Symmetry ... Cmmm
M_tot ... 2.4 μB/f.u.
Calculated volume ... 194.9 Å³ per cell

Cell: 6.649 8.796 3.333 Å, 90.00 90.00 90.00°
Atoms (fractional coordinates):
In1 0.000 0.000 0.000
In2 0.500 0.500 0.000
Tc1 0.000 0.500 0.000
Tc2 0.500 0.000 0.000
Pb1 0.250 0.250 0.500
Pb2 0.250 0.750 0.500
Pb3 0.750 0.250 0.500
Pb4 0.750 0.750 0.500

The following is a GGA-PBE calculation of ZrCo2Hg after structural relaxation, from Alexandria.

Results
Total DFT energy (no corrections) ... -5.738 eV per atom
Symmetry ... Amm2
M_tot ... 0.1 μB/f.u.
Calculated volume ... 129.9 Å³ per cell

Cell: 3.766 3.664 9.414 Å, 90.00 90.00 90.00°
Atoms (fractional coordinates):
Zr1 0.000 0.000 0.000
Zr2 0.000 0.500 0.500
Co1 0.000 0.000 0.712
Co2 0.000 0.500 0.212
Co3 0.500 0.000 0.578
Co4 0.500 0.500 0.078
Hg1 0.500 0.000 0.298
Hg2 0.500 0.500 0.798

The following is a GGA-PBE calculation of Sc3InSe2 after structural relaxation, from Alexandria.

Results
Total DFT energy (no corrections) ... -5.760 eV per atom
Symmetry ... Cmcm
M_tot ... 0.0 μB/f.u.
Calculated volume ... 263.1 Å³ per cell
E_form (uncorrected) ... -0.976 eV per atom

Cell: 6.416 6.416 9.065 Å, 90.00 90.00 135.16°
Atoms (fractional coordinates):
Sc1 0.127 0.873 0.750
Sc2 0.367 0.633 0.546
Sc3 0.367 0.633 0.954
Sc4 0.633 0.367 0.046
Sc5 0.633 0.367 0.454
Sc6 0.873 0.127 0.250
In1 0.211 0.789 0.250
In2 0.789 0.211 0.750
Se1 0.000 0.000 0.000
Se2 0.000 0.000 0.500
Se3 0.460 0.540 0.250
Se4 0.540 0.460 0.750

The following is a GGA-PBE calculation of RuCICl2 after structural relaxation, from Alexandria.

Results
Total DFT energy (no corrections) ... -2.524 eV per atom
Symmetry ... P4/mmm
M_tot ... 4.7 μB/f.u.
Calculated volume ... 164.7 Å³ per cell
E_form (uncorrected) ... 2.225 eV per atom

Cell: 5.688 5.688 5.091 Å, 90.00 90.00 90.00°
Atoms (fractional coordinates):
Ru1 0.000 0.000 0.000
C1 0.500 0.500 0.000
I1 0.000 0.000 0.500
Cl1 0.000 0.500 0.500
Cl2 0.500 0.000 0.500

Q: The highest calculated volume belongs to which entry?
A: Sc3InSe2

Q: The highest total DFT energy (no corrections) belongs to which entry?
A: RuCICl2

Q: Among the records above, which one has the highest M_tot?
A: Pu3Al9Cu2

Q: The highest M_tot belongs to which entry?
A: Pu3Al9Cu2